A plane-wave DFT calculation with PBE-GGA was carried out for an optimized crystal structure of Nd2AgPtO5.

Cell and atoms, written as POSCAR:
```
Nd2AgPtO5
1.0
6.869 0.000 0.000
0.000 6.869 0.000
0.000 0.000 5.787
Nd Ag Pt O
4 2 2 10
direct
0.177 0.323 0.000 Nd
0.323 0.823 0.000 Nd
0.677 0.177 0.000 Nd
0.823 0.677 0.000 Nd
0.000 0.000 0.500 Ag
0.500 0.500 0.500 Ag
0.000 0.500 0.500 Pt
0.500 0.000 0.500 Pt
0.000 0.000 0.000 O
0.134 0.634 0.244 O
0.134 0.634 0.756 O
0.366 0.134 0.244 O
0.366 0.134 0.756 O
0.500 0.500 0.000 O
0.634 0.866 0.244 O
0.634 0.866 0.756 O
0.866 0.366 0.244 O
0.866 0.366 0.756 O
```

Values from the calculation:
V ... 273.07 Å³/cell
SG ... P4/mbm
DFT total energy ... -6.683 eV per atom
DOS(E_F) ... 13.13 states/eV per cell